Computed, not measured: a relaxed Li3La2SiNi12 crystal at the PBE level of DFT.

Unit cell a=9.0943 b=9.0943 c=9.0943 alpha=38.54 beta=38.54 gamma=38.54
Element x y z (fractional)
Li 0.0000 0.5000 0.5000
Li 0.5000 0.0000 0.5000
Li 0.5000 0.5000 0.0000
La 0.1533 0.1533 0.1533
La 0.8467 0.8467 0.8467
Si 0.5000 0.5000 0.5000
Ni 0.0798 0.0798 0.6887
Ni 0.0798 0.6887 0.0798
Ni 0.1520 0.5700 0.5700
Ni 0.3113 0.9202 0.9202
Ni 0.4300 0.4300 0.8480
Ni 0.4300 0.8480 0.4300
Ni 0.5700 0.1520 0.5700
Ni 0.5700 0.5700 0.1520
Ni 0.6887 0.0798 0.0798
Ni 0.8480 0.4300 0.4300
Ni 0.9202 0.3113 0.9202
Ni 0.9202 0.9202 0.3113

**D(E_F)**: 17.6 states/eV per cell
**Formation energy (no corrections)**: 0.0472 eV per atom

---

Computed, not measured: a relaxed Ba5MgGa2 crystal at the PBE level of DFT.

Unit cell a=11.0142 b=11.0142 c=11.0142 alpha=132.70 beta=132.70 gamma=69.13
Element x y z (fractional)
Ba 0.0000 0.0000 0.0000
Ba 0.0339 0.5339 0.8430
Ba 0.1909 0.0339 0.5000
Ba 0.3091 0.8091 0.8430
Ba 0.4661 0.3091 0.5000
Ba 0.5000 0.5000 0.0000
Ba 0.5339 0.6909 0.5000
Ba 0.6909 0.1909 0.1570
Ba 0.8091 0.9661 0.5000
Ba 0.9661 0.4661 0.1570
Mg 0.2500 0.2500 0.0000
Mg 0.7500 0.7500 0.0000
Ga 0.1050 0.3950 0.5000
Ga 0.3950 0.8950 0.2900
Ga 0.6050 0.1050 0.7100
Ga 0.8950 0.6050 0.5000

**D(E_F)**: 22.0 states/eV per cell
**ΔH_f (0 K)**: -1.51 eV/f.u.